A plane-wave DFT calculation with PBE was carried out for crystalline Tm3Lu4Cu2Te2 at its relaxed geometry.

Computed properties:
As for the volume: 25.448 Å³/atom. The crystal system is orthorhombic. As for the final energy: -51.4 eV/cell.

a = 9.1307 Å, b = 9.1307 Å, c = 9.1307 Å
α = 155.22°, β = 68.08°, γ = 117.73°
Atoms (fractional coordinates):
Cu: 0.6957 0.9298 0.7659
Cu: 0.1639 0.9298 0.2341
Tm: 0.2863 0.4180 0.8683
Tm: 0.5497 0.4180 0.1317
Tm: 0.0030 0.0030 0.0000
Lu: 0.9376 0.6232 0.3144
Lu: 0.6228 0.2670 0.3558
Lu: 0.9111 0.2670 0.6442
Lu: 0.3088 0.6232 0.6856
Te: 0.2677 0.7677 0.5000
Te: 0.6652 0.6652 0.0000

***

A plane-wave DFT calculation with PBE was carried out for crystalline Al2CuAs at its relaxed geometry.

Computed properties:
As for the volume: 16.516 Å³/atom. The crystal system is cubic. As for the final energy: -15.0 eV/cell.

a = 4.5376 Å, b = 4.5376 Å, c = 4.5376 Å
α = 60.00°, β = 60.00°, γ = 60.00°
Atoms (fractional coordinates):
Al: 0.0000 0.0000 0.0000
Al: 0.7500 0.7500 0.7500
As: 0.5000 0.5000 0.5000
Cu: 0.2500 0.2500 0.2500

***

A plane-wave DFT calculation with PBE was carried out for crystalline CsTaBeNi at its relaxed geometry.

Computed properties:
As for the volume: 19.229 Å³/atom. The calculation puts the excess energy over the best structure of this formula in the dataset at 88 meV per atom. The crystal system is cubic.

a = 4.7736 Å, b = 4.7736 Å, c = 4.7736 Å
α = 60.00°, β = 60.00°, γ = 60.00°
Atoms (fractional coordinates):
Be: 0.7500 0.7500 0.7500
Cs: 0.5000 0.5000 0.5000
Ta: 0.0000 0.0000 0.0000
Ni: 0.2500 0.2500 0.2500

***

A plane-wave DFT calculation with PBE was carried out for crystalline PrSnAsPd2 at its relaxed geometry.

Computed properties:
As for the volume: 20.662 Å³/atom. The calculation puts the excess energy over the best structure of this formula in the dataset at 0 meV per atom. The crystal system is tetragonal.

a = 4.4177 Å, b = 4.4177 Å, c = 10.5874 Å
α = 90.00°, β = 90.00°, γ = 90.00°
Atoms (fractional coordinates):
As: 0.0000 0.5000 0.3749
As: 0.5000 0.0000 0.6251
Pr: 0.5000 0.0000 0.2733
Pr: 0.0000 0.5000 0.7267
Sn: 0.5000 0.5000 0.0000
Sn: 0.0000 0.0000 0.0000
Pd: 0.5000 0.0000 0.8541
Pd: 0.0000 0.0000 0.5000
Pd: 0.5000 0.5000 0.5000
Pd: 0.0000 0.5000 0.1459

***

A plane-wave DFT calculation with PBE was carried out for crystalline NdSmBr3 at its relaxed geometry.

Computed properties:
As for the volume: 31.785 Å³/atom. The crystal system is monoclinic. As for the final energy: -42.8 eV/cell.

a = 8.5019 Å, b = 8.5019 Å, c = 10.8753 Å
α = 117.75°, β = 117.75°, γ = 27.43°
Atoms (fractional coordinates):
Br: 0.9546 0.9546 0.2726
Br: 0.6564 0.6564 0.5075
Br: 0.3436 0.3436 0.4925
Br: 0.2324 0.2324 0.1224
Br: 0.0454 0.0454 0.7274
Br: 0.7676 0.7676 0.8776
Nd: 0.4124 0.4124 0.0507
Nd: 0.5876 0.5876 0.9493
Sm: 0.1383 0.1383 0.2934
Sm: 0.8617 0.8617 0.7066

***

A plane-wave DFT calculation with PBE was carried out for crystalline YNpAs at its relaxed geometry.

Computed properties:
As for the volume: 26.979 Å³/atom. The crystal system is cubic. As for the final energy: -24.8 eV/cell.

a = 4.8554 Å, b = 4.8554 Å, c = 4.8554 Å
α = 60.00°, β = 60.00°, γ = 60.00°
Atoms (fractional coordinates):
Y: 0.7500 0.7500 0.7500
As: 0.0000 0.0000 0.0000
Np: 0.2500 0.2500 0.2500

***

A plane-wave DFT calculation with PBE was carried out for crystalline K3NdSi6O15 at its relaxed geometry.

Computed properties:
As for the volume: 16.475 Å³/atom. The calculation puts the excess energy over the best structure of this formula in the dataset at 7 meV per atom. The crystal system is orthorhombic.

a = 14.5000 Å, b = 15.7343 Å, c = 7.2212 Å
α = 90.00°, β = 90.00°, γ = 90.00°
Atoms (fractional coordinates):
O: 0.2683 0.6905 0.0000
O: 0.9436 0.8678 0.0000
O: 0.4032 0.7690 0.1830
O: 0.0919 0.9444 0.7534
O: 0.4307 0.9342 0.7395
O: 0.8876 0.3919 0.0000
O: 0.4032 0.7690 0.8170
O: 0.0564 0.1322 0.0000
O: 0.4436 0.6322 0.0000
O: 0.8606 0.6819 0.5000
O: 0.2317 0.1905 0.0000
O: 0.5968 0.2310 0.8170
O: 0.7404 0.4548 0.8160
O: 0.4081 0.4444 0.2466
O: 0.5919 0.5556 0.2466
O: 0.5564 0.3678 0.0000
O: 0.7683 0.8095 0.0000
O: 0.2421 0.3740 0.2203
O: 0.2756 0.4803 0.5000
O: 0.6394 0.1819 0.5000
O: 0.9032 0.7310 0.1830
O: 0.3606 0.8181 0.5000
O: 0.0693 0.4342 0.7395
O: 0.0968 0.2690 0.8170
O: 0.7596 0.9548 0.8160
O: 0.9081 0.0556 0.7534
O: 0.4081 0.4444 0.7534
O: 0.0693 0.4342 0.2605
O: 0.9307 0.5658 0.7395
O: 0.7579 0.6260 0.2203
O: 0.2404 0.0452 0.1840
O: 0.9081 0.0556 0.2466
O: 0.2404 0.0452 0.8160
O: 0.7596 0.9548 0.1840
O: 0.7579 0.6260 0.7797
O: 0.2421 0.3740 0.7797
O: 0.2596 0.5452 0.8160
O: 0.2596 0.5452 0.1840
O: 0.7421 0.1260 0.7797
O: 0.1394 0.3181 0.5000
O: 0.4307 0.9342 0.2605
O: 0.7404 0.4548 0.1840
O: 0.7756 0.0197 0.5000
O: 0.3876 0.1081 0.0000
O: 0.1124 0.6081 0.0000
O: 0.2579 0.8740 0.7797
O: 0.5919 0.5556 0.7534
O: 0.6124 0.8919 0.0000
O: 0.5693 0.0658 0.7395
O: 0.0919 0.9444 0.2466
O: 0.7421 0.1260 0.2203
O: 0.5693 0.0658 0.2605
O: 0.0968 0.2690 0.1830
O: 0.7317 0.3095 0.0000
O: 0.5968 0.2310 0.1830
O: 0.2244 0.9803 0.5000
O: 0.9032 0.7310 0.8170
O: 0.9307 0.5658 0.2605
O: 0.7244 0.5197 0.5000
O: 0.2579 0.8740 0.2203
Si: 0.1992 0.9594 0.7168
Si: 0.8653 0.6460 0.2884
Si: 0.1992 0.9594 0.2832
Si: 0.3653 0.8540 0.7116
Si: 0.8008 0.0406 0.2832
Si: 0.2787 0.0948 0.0000
Si: 0.3791 0.7128 0.0000
Si: 0.6209 0.2872 0.0000
Si: 0.3008 0.4594 0.7168
Si: 0.2213 0.5948 0.0000
Si: 0.8008 0.0406 0.7168
Si: 0.1347 0.3540 0.7116
Si: 0.8653 0.6460 0.7116
Si: 0.6347 0.1460 0.7116
Si: 0.1209 0.2128 0.0000
Si: 0.3653 0.8540 0.2884
Si: 0.8791 0.7872 0.0000
Si: 0.6992 0.5406 0.2832
Si: 0.6347 0.1460 0.2884
Si: 0.7787 0.4052 0.0000
Si: 0.3008 0.4594 0.2832
Si: 0.1347 0.3540 0.2884
Si: 0.7213 0.9052 0.0000
Si: 0.6992 0.5406 0.7168
K: 0.9059 0.4331 0.5000
K: 0.5396 0.3784 0.5000
K: 0.5941 0.9331 0.5000
K: 0.1169 0.7889 0.0000
K: 0.9604 0.8784 0.5000
K: 0.4059 0.0669 0.5000
K: 0.3831 0.2889 0.0000
K: 0.8831 0.2111 0.0000
K: 0.0941 0.5669 0.5000
K: 0.6169 0.7111 0.0000
K: 0.0396 0.1216 0.5000
K: 0.4604 0.6216 0.5000
Nd: 0.0000 0.0000 0.0000
Nd: 0.5000 0.5000 0.0000
Nd: 0.0000 0.5000 0.0000
Nd: 0.5000 0.0000 0.0000

***

A plane-wave DFT calculation with PBE was carried out for crystalline GdSbMoI2 at its relaxed geometry.

Computed properties:
As for the volume: 32.470 Å³/atom. The crystal system is trigonal. As for the final energy: -25.1 eV/cell.

a = 4.2578 Å, b = 4.2578 Å, c = 10.3407 Å
α = 90.00°, β = 90.00°, γ = 120.00°
Atoms (fractional coordinates):
Gd: 0.0000 0.0000 0.8595
I: 0.0000 0.0000 0.3056
I: 0.3333 0.6667 0.6656
Sb: 0.6667 0.3333 0.0275
Mo: 0.3333 0.6667 0.1418